VASP calculation (PBEsol) on YWBr3 after structural relaxation.

Cell lengths 5.473, 5.473, 5.473 Å; angles 90.00, 90.00, 90.00 degrees
Atoms (fractional coordinates):
1 Y 0.000 0.000 0.000
2 W 0.500 0.500 0.500
3 Br 0.000 0.000 0.500
4 Br 0.000 0.500 0.000
5 Br 0.500 0.000 0.000

Values from the calculation:
**Volume**: 164 Å³/f.u.
**Uncorrected energy**: -24.8 eV per formula unit